Material: NaCa2BiP
Method: DFT, PBE-GGA
State: optimized geometry Values from VASP.

```
&SYSTEM
  ibrav = 0, nat = 5, ntyp = 4
/
ATOMIC_SPECIES
Ca 40.08 Ca.upf
Bi 208.98 Bi.upf
Na 22.99 Na.upf
P 30.97 P.upf
CELL_PARAMETERS angstrom
-1.2451 -1.4977 -5.1070
-4.2063 -2.9364 1.8866
-3.1316 4.1876 -0.4645
ATOMIC_POSITIONS crystal
Ca 0.0000 0.5000 0.0000
Ca 0.5000 0.0000 0.0000
Bi 0.5000 0.5000 0.5000
Na 0.0000 0.0000 0.5000
P 0.0000 0.0000 0.0000
```

Output
The symmetry is No. 123. Its calculated total energy is -17.83 eV per cell. The value obtained for the density of states at the Fermi level is 4.93 states/eV/f.u. As for the formation energy: -0.64 eV per atom.